No. 1
This record from the Alexandria database describes UFe2H4 after structural relaxation. The functional is PBE-GGA.

Unit cell a=4.524 b=4.137 c=8.209 alpha=90.00 beta=90.00 gamma=123.14
Element x y z (fractional)
H 0.577 0.812 0.000
U 0.500 0.000 0.750
U 0.500 0.000 0.250
H 0.766 0.188 0.500
Fe 0.810 0.639 0.500
Fe 0.190 0.361 0.500
H 0.000 0.500 0.150
H 0.000 0.500 0.850
Fe 0.829 0.639 0.000
H 0.234 0.812 0.500
H 0.500 0.500 0.350
Fe 0.171 0.361 0.000
H 0.423 0.188 0.000
H 0.500 0.500 0.650

No. 2
This record from the Alexandria database describes AlMoW2 after structural relaxation. The functional is PBE-GGA.

Output
Its formation energy from the elements is -0.0059 eV per atom.

Unit cell a=2.753 b=2.753 c=8.793 alpha=90.00 beta=90.00 gamma=108.76
Element x y z (fractional)
W 0.000 0.000 0.497
Al 0.500 0.500 0.250
W 0.000 0.000 0.003
Mo 0.500 0.500 0.750

No. 3
This record from the Alexandria database describes Ac3SiHg after structural relaxation. The functional is PBE-GGA.

Output
The value obtained for the polymorph energy (0 for the lowest one) is 0.000 eV/atom. The formation energy without anion corrections is -369 meV per atom.

Unit cell a=8.401 b=8.947 c=10.143 alpha=112.77 beta=90.00 gamma=90.00
Element x y z (fractional)
Si 0.517 0.144 0.081
Si 0.983 0.644 0.081
Ac 0.183 0.617 0.802
Ac 0.817 0.383 0.198
Hg 0.335 0.942 0.410
Ac 0.677 0.491 0.857
Ac 0.323 0.509 0.143
Ac 0.998 0.781 0.440
Hg 0.665 0.058 0.590
Ac 0.498 0.719 0.560
Ac 0.823 0.991 0.857
Si 0.483 0.856 0.919
Ac 0.002 0.219 0.560
Ac 0.177 0.009 0.143
Si 0.017 0.356 0.919
Ac 0.317 0.117 0.802
Hg 0.835 0.558 0.590
Ac 0.683 0.883 0.198
Hg 0.165 0.442 0.410
Ac 0.502 0.281 0.440

No. 4
This record from the Alexandria database describes Mo3AuBr after structural relaxation. The functional is PBE-GGA.

Output
The value obtained for the polymorph energy (0 for the lowest one) is 0.885 eV/atom. The formation energy without anion corrections is 2417 meV per atom.

Unit cell a=4.943 b=4.943 c=4.943 alpha=90.00 beta=90.00 gamma=90.00
Element x y z (fractional)
Br 0.500 0.500 0.500
Mo 0.000 0.500 0.000
Mo 0.000 0.000 0.500
Au 0.000 0.000 0.000
Mo 0.500 0.000 0.000

No. 5
This record from the Alexandria database describes HoPuSn2 after structural relaxation. The functional is PBE-GGA.

Output
Its formation energy from the elements is -0.4757 eV per atom.

Unit cell a=4.461 b=4.849 c=4.849 alpha=90.00 beta=90.00 gamma=90.00
Element x y z (fractional)
Pu 0.500 0.000 0.000
Ho 0.500 0.500 0.500
Sn 0.000 0.500 0.000
Sn 0.000 0.000 0.500

No. 6
This record from the Alexandria database describes Nd3Sm6DyY2 after structural relaxation. The functional is PBE-GGA.

Output
Its formation energy from the elements is 0.0149 eV per atom.

Unit cell a=6.286 b=6.286 c=12.012 alpha=95.00 beta=95.00 gamma=120.00
Element x y z (fractional)
Nd 0.167 0.833 0.500
Y 0.667 0.333 0.000
Sm 0.082 0.415 0.247
Sm 0.415 0.082 0.247
Nd 0.500 0.500 0.500
Sm 0.918 0.585 0.753
Sm 0.750 0.750 0.247
Y 0.333 0.667 0.000
Sm 0.250 0.250 0.753
Sm 0.585 0.918 0.753
Nd 0.833 0.167 0.500
Dy 0.000 0.000 0.000

No. 7
This record from the Alexandria database describes Pm2ScI after structural relaxation. The functional is PBE-GGA.

Output
The value obtained for the polymorph energy (0 for the lowest one) is 0.039 eV/atom. The formation energy without anion corrections is -307 meV per atom.

Unit cell a=3.659 b=3.659 c=9.278 alpha=90.00 beta=90.00 gamma=90.00
Element x y z (fractional)
Pm 0.000 0.000 0.753
I 0.500 0.500 0.500
Sc 0.500 0.500 0.000
Pm 0.000 0.000 0.247

No. 8
This record from the Alexandria database describes Sr2TlHg after structural relaxation. The functional is PBE-GGA.

Output
Its formation energy from the elements is -0.3862 eV per atom.

Unit cell a=6.439 b=6.439 c=5.782 alpha=74.41 beta=74.41 gamma=36.46
Element x y z (fractional)
Sr 0.979 0.979 0.062
Hg 0.236 0.236 0.212
Tl 0.519 0.519 0.530
Sr 0.767 0.767 0.696

No. 9
This record from the Alexandria database describes HfBePPt2 after structural relaxation. The functional is PBE-GGA.

Output
Its formation energy from the elements is 0.2260 eV per atom.

Unit cell a=4.480 b=4.720 c=4.480 alpha=90.00 beta=90.00 gamma=90.00
Element x y z (fractional)
Pt 0.000 0.000 0.500
Hf 0.000 0.500 0.000
Be 0.500 0.500 0.500
Pt 0.500 0.000 0.000
P 0.000 0.000 0.000

No. 10
This record from the Alexandria database describes CaHg3F after structural relaxation. The functional is PBE-GGA.

Output
The value obtained for the polymorph energy (0 for the lowest one) is 0.000 eV/atom. The formation energy without anion corrections is -530 meV per atom.

Unit cell a=5.142 b=5.142 c=5.142 alpha=90.00 beta=90.00 gamma=90.00
Element x y z (fractional)
F 0.000 0.000 0.000
Hg 0.000 0.500 0.000
Ca 0.500 0.500 0.500
Hg 0.500 0.000 0.000
Hg 0.000 0.000 0.500

No. 11
This record from the Alexandria database describes NaSr2PuS4 after structural relaxation. The functional is PBE-GGA.

Output
The formation energy without anion corrections is -1783 meV per atom.

Unit cell a=4.188 b=7.185 c=7.165 alpha=108.92 beta=90.00 gamma=90.00
Element x y z (fractional)
Sr 0.500 0.000 0.500
S 0.000 0.240 0.760
Na 0.500 0.500 0.000
Sr 0.000 0.500 0.500
S 0.000 0.760 0.240
Pu 0.000 0.000 0.000
S 0.500 0.235 0.231
S 0.500 0.765 0.769

No. 12
This record from the Alexandria database describes NaPr2P3Pd4 after structural relaxation. The functional is PBE-GGA.

Output
Its formation energy from the elements is -0.8274 eV per atom.

Unit cell a=4.195 b=4.195 c=10.542 alpha=90.00 beta=90.00 gamma=90.00
Element x y z (fractional)
Pd 0.000 0.000 0.000
Pd 0.500 0.500 0.000
Pr 0.500 0.000 0.231
P 0.500 0.000 0.868
Pd 0.500 0.000 0.645
Na 0.500 0.500 0.500
P 0.000 0.500 0.132
P 0.000 0.000 0.500
Pr 0.000 0.500 0.769
Pd 0.000 0.500 0.355

VASP energy, record by record: -41.78, -40.50, -19.90, -25.36, -28.82, -59.97, -18.61, -7.58, -30.04, -7.43, -49.79, -56.15 eV/f.u.